Entry 1:
The following is a PBE-GGA calculation of an optimized crystal structure of CsTlF3, from Alexandria via LeMat-Bulk.

## Properties
Its uncorrected formation energy is -2117 meV/atom. The space group is C2/m.

abc: 4.7236 4.7187 11.0632
angles: 102.31 102.43 90.00
Fractional positions:
Cs  0.1685  0.4192  0.8383
Cs  0.8315  0.5808  0.1617
Tl  0.4344  0.1828  0.3656
Tl  0.5656  0.8172  0.6344
F  0.6762  0.9269  0.8538
F  0.3238  0.0731  0.1462
F  0.4364  0.6856  0.3711
F  0.5636  0.3144  0.6289
F  0.0766  0.8280  0.6560
F  0.9234  0.1720  0.3440

Entry 2:
The following is a PBE-GGA calculation of an optimized crystal structure of SmPa2H, from Alexandria via LeMat-Bulk.

## Properties
The space group is R-3m.

abc: 3.2042 3.2042 9.7767
angles: 80.57 80.57 60.00
Fractional positions:
H  0.5000  0.5000  0.5000
Pa  0.1128  0.1128  0.6617
Pa  0.8872  0.8872  0.3383
Sm  0.0000  0.0000  0.0000

Entry 3:
The following is a PBE-GGA calculation of an optimized crystal structure of MnSbPb2S5, from Alexandria via LeMat-Bulk.

## Properties
Its uncorrected formation energy is -395 meV/atom. The space group is Cmc2_1.

abc: 4.0212 9.1636 12.3042
angles: 90.00 90.00 102.67
Fractional positions:
Mn  0.5462  0.0925  0.9216
Mn  0.4538  0.9075  0.4216
Sb  0.7978  0.5955  0.5376
Sb  0.2022  0.4045  0.0376
Pb  0.8859  0.7719  0.8402
Pb  0.1271  0.2542  0.6939
Pb  0.1141  0.2281  0.3402
Pb  0.8729  0.7458  0.1939
S  0.3410  0.6821  0.0177
S  0.6710  0.3420  0.8716
S  0.4880  0.9761  0.7602
S  0.2890  0.5779  0.6819
S  0.9854  0.9708  0.4992
S  0.6590  0.3179  0.5177
S  0.3290  0.6580  0.3716
S  0.5120  0.0239  0.2602
S  0.7110  0.4221  0.1819
S  0.0146  0.0292  0.9992

Entry 4:
The following is a PBE-GGA calculation of an optimized crystal structure of TcN2Cl, from Alexandria via LeMat-Bulk.

## Properties
Its uncorrected formation energy is 1992 meV/atom. The space group is Fm-3m. The calculation puts the energy above the most stable polymorph in this dataset at 1.5974 eV/atom.

abc: 3.8575 3.8575 3.8575
angles: 60.00 60.00 60.00
Fractional positions:
N  0.2500  0.2500  0.2500
N  0.7500  0.7500  0.7500
Tc  0.5000  0.5000  0.5000
Cl  0.0000  0.0000  0.0000

Entry 5:
The following is a PBE-GGA calculation of an optimized crystal structure of LaAlInPt3, from Alexandria via LeMat-Bulk.

## Properties
As for the calculated formation energy: -74.9 kJ/mol of atoms. The space group is Cmcm.

abc: 5.7431 5.8140 8.8157
angles: 109.25 90.00 90.00
Fractional positions:
La  0.7500  0.2829  0.5658
La  0.2500  0.7171  0.4342
Al  0.2500  0.4154  0.8308
Al  0.7500  0.5846  0.1692
In  0.2500  0.1065  0.2130
In  0.7500  0.8935  0.7870
Pt  0.2500  0.2673  0.5347
Pt  0.0000  0.2504  0.0000
Pt  0.5000  0.7496  0.0000
Pt  0.5000  0.2504  0.0000
Pt  0.0000  0.7496  0.0000
Pt  0.7500  0.7327  0.4653

Entry 6:
The following is a PBE-GGA calculation of an optimized crystal structure of Li2AlMo, from Alexandria via LeMat-Bulk.

## Properties
As for the calculated formation energy: 21.3 kJ/mol of atoms. The space group is Cmmm.

abc: 5.3292 5.3292 2.5742
angles: 90.00 90.00 121.43
Fractional positions:
Al  0.0000  0.5000  0.5000
Li  0.0000  0.0000  0.0000
Li  0.5000  0.5000  0.0000
Mo  0.5000  0.0000  0.5000

Entry 7:
The following is a PBE-GGA calculation of an optimized crystal structure of Cs2Bi, from Alexandria via LeMat-Bulk.

## Properties
As for the calculated formation energy: -21.4 kJ/mol of atoms. The space group is I4/mmm. The calculation puts the energy above the most stable polymorph in this dataset at 0.0332 eV/atom.

abc: 4.9919 4.9919 7.3904
angles: 109.73 109.73 90.00
Fractional positions:
Cs  0.1512  0.1512  0.3032
Cs  0.8488  0.8488  0.6968
Bi  0.5000  0.5000  0.0000

Entry 8:
The following is a PBE-GGA calculation of an optimized crystal structure of Ac2Pd9Pb, from Alexandria via LeMat-Bulk.

## Properties
As for the calculated formation energy: -55.0 kJ/mol of atoms. The space group is P4/mmm. The calculation puts the energy above the most stable polymorph in this dataset at 0.0000 eV/atom.

abc: 4.2746 4.2746 12.6110
angles: 90.00 90.00 90.00
Fractional positions:
Ac  0.0000  0.0000  0.3278
Ac  0.0000  0.0000  0.6722
Pd  0.5000  0.5000  0.0000
Pd  0.5000  0.5000  0.3243
Pd  0.5000  0.5000  0.6757
Pd  0.5000  0.0000  0.1538
Pd  0.5000  0.0000  0.5000
Pd  0.5000  0.0000  0.8462
Pd  0.0000  0.5000  0.1538
Pd  0.0000  0.5000  0.5000
Pd  0.0000  0.5000  0.8462
Pb  0.0000  0.0000  0.0000

Entry 9:
The following is a PBE-GGA calculation of an optimized crystal structure of LuZnSn2, from Alexandria via LeMat-Bulk.

## Properties
As for the calculated formation energy: -11.9 kJ/mol of atoms. The space group is R-3m. The calculation puts the energy above the most stable polymorph in this dataset at 0.2522 eV/atom.

abc: 4.7169 4.7169 5.6931
angles: 65.53 65.53 60.00
Fractional positions:
Zn  0.5000  0.5000  0.5000
Lu  0.0000  0.0000  0.0000
Sn  0.7676  0.7676  0.6973
Sn  0.2324  0.2324  0.3027

Entry 10:
The following is a PBE-GGA calculation of an optimized crystal structure of TaSbPbI2, from Alexandria via LeMat-Bulk.

## Properties
Its uncorrected formation energy is 429 meV/atom. The space group is P4/mmm. The calculation puts the energy above the most stable polymorph in this dataset at 0.0000 eV/atom.

abc: 5.4976 5.5854 5.4976
angles: 90.00 90.00 90.00
Fractional positions:
Pb  0.5000  0.5000  0.5000
I  0.0000  0.0000  0.5000
I  0.5000  0.0000  0.0000
Sb  0.0000  0.5000  0.0000
Ta  0.0000  0.0000  0.0000

Magnetization, record by record: 0.00, 0.00, 8.00, 0.00, 0.00, 0.00, 0.22, 0.00, 0.00, 0.86 μB/cell
Energy, record by record: -3.8841, -6.5962, -4.9889, -5.2243, -5.6978, -4.3791, -2.0846, -5.4584, -3.5739, -4.1275 eV/atom
Density of states at the Fermi level, record by record: 0.169, 1.885, 0.302, 0.887, 0.282, 0.449, 0.899, 0.323, 0.407, 1.085 states/eV per atom